PBE Ce5AlGa, relaxed; ΔH_f (0 K) = -0.101 eV/atom
1.0
4.084 -4.294 0.000
4.084 4.294 0.000
-3.971 0.000 9.866
Ce Al Ga
10 2 2
Cartesian
1.139 0.923 0.201 Ce
1.106 3.551 7.399 Ce
-0.846 -0.923 5.134 Ce
-0.371 0.844 8.197 Ce
1.615 -0.844 3.265 Ce
2.582 0.844 6.601 Ce
4.568 -0.844 1.668 Ce
5.043 0.923 4.732 Ce
3.091 -3.551 2.466 Ce
3.057 -0.923 9.665 Ce
3.091 1.802 2.466 Al
1.106 -1.802 7.399 Al
0.056 2.147 4.933 Ga
2.042 -2.147 0.000 Ga

PBE Ce2Al3Ga, relaxed; ΔH_f (0 K) = -0.478 eV/atom
1.0
5.634 0.000 0.000
-2.817 4.879 0.000
0.000 0.000 8.975
Ce Al Ga
4 6 2
Cartesian
0.000 3.253 0.756 Ce
0.000 3.253 3.732 Ce
2.817 1.626 5.243 Ce
2.817 1.626 8.220 Ce
0.000 1.682 6.732 Al
-1.360 4.038 6.732 Al
1.457 0.841 2.244 Al
1.360 4.038 6.732 Al
4.177 0.841 2.244 Al
2.817 3.197 2.244 Al
0.000 0.000 0.000 Ga
0.000 0.000 4.488 Ga

PBE Ce3Al2Ga6, relaxed; ΔH_f (0 K) = -0.311 eV/atom
1.0
-2.074 2.074 14.447
2.074 -2.074 14.447
2.074 2.074 -14.447
Ce Al Ga
3 2 6
Cartesian
0.000 0.000 0.000 Ce
0.000 0.000 4.901 Ce
0.000 0.000 23.992 Ce
0.000 0.000 10.441 Al
0.000 0.000 18.452 Al
2.074 0.000 2.306 Ga
0.000 0.000 7.841 Ga
2.074 0.000 12.141 Ga
0.000 2.074 2.306 Ga
0.000 0.000 21.052 Ga
0.000 2.074 12.141 Ga

PBE CeAlGa2, relaxed; ΔH_f (0 K) = -0.302 eV/atom
1.0
3.467 0.000 0.000
0.000 3.467 0.000
0.000 0.000 6.779
Ce Al Ga
1 1 2
Cartesian
0.000 0.000 0.000 Ce
0.000 0.000 3.389 Al
1.733 1.733 2.031 Ga
1.733 1.733 4.748 Ga

PBE Ce3Al2Ga9, relaxed; ΔH_f (0 K) = -0.451 eV/atom
1.0
-2.121 5.076 6.416
2.121 -5.076 6.416
2.121 5.076 -6.416
Ce Al Ga
3 2 9
Cartesian
0.000 0.000 0.000 Ce
0.000 0.000 4.098 Ce
0.000 0.000 8.735 Ce
2.121 2.885 0.000 Al
0.000 2.191 6.416 Al
2.121 -1.287 2.094 Ga
2.121 -2.295 4.596 Ga
2.121 1.287 2.094 Ga
0.000 2.781 1.820 Ga
0.000 5.076 0.000 Ga
2.121 2.295 4.596 Ga
0.000 3.789 4.322 Ga
0.000 7.371 1.820 Ga
0.000 6.363 4.322 Ga

PBE CeAl2Ga, relaxed; ΔH_f (0 K) = -0.135 eV/atom
1.0
0.000 3.427 3.427
3.427 0.000 3.427
3.427 3.427 0.000
Ce Al Ga
1 2 1
Cartesian
0.000 0.000 0.000 Ce
1.713 1.713 1.713 Al
5.140 5.140 5.140 Al
3.427 3.427 3.427 Ga

> ΔH_f (0 K) of number 5 (Ce3Al2Ga9)?

-0.451 eV/atom